Density functional theory data (PBE-GGA) for crystalline VNiH2 at its relaxed geometry.

Cell and atoms, written as POSCAR:
```
VNiH2
1.0
-0.0911 -2.5452 0.8381
2.2568 -1.4380 0.1671
1.3429 0.1906 5.0135
Ni H V
1 2 1
Direct
0.5000 0.5000 0.5000
0.8792 0.8792 0.3623
0.1208 0.1208 0.6377
0.0000 0.0000 0.0000
```

Properties
space-group type = No. 166
ρ = 6.01 g/cm³
energy above the most stable polymorph in this dataset = 0.248 eV per atom



Density functional theory data (PBE-GGA) for crystalline V2NiH6 at its relaxed geometry.

Cell and atoms, written as POSCAR:
```
V2NiH6
1.0
2.8314 -0.0010 -0.9167
-0.6162 3.6571 -1.9071
0.0791 0.2897 5.0895
H V Ni
6 2 1
Direct
0.1633 0.9098 0.3268
0.5000 0.7532 0.0000
0.8367 0.5831 0.6732
0.8367 0.0902 0.6732
0.5000 0.2468 0.0000
0.1633 0.4169 0.3268
0.3310 0.3310 0.6620
0.6690 0.6690 0.3380
0.0000 0.0000 0.0000
```

Properties
space-group type = No. 71
ρ = 5.06 g/cm³



Density functional theory data (PBE-GGA) for crystalline VNi3H3 at its relaxed geometry.

Cell and atoms, written as POSCAR:
```
VNi3H3
1.0
5.3744 1.2105 4.1351
2.7007 4.8017 4.1351
1.6259 1.2105 6.5833
H Ni V
6 6 2
Direct
0.0654 0.3931 0.7301
0.7301 0.0654 0.3931
0.6069 0.2699 0.9346
0.9346 0.6069 0.2699
0.3931 0.7301 0.0654
0.2699 0.9346 0.6069
0.4450 0.1124 0.7812
0.5550 0.8876 0.2188
0.7812 0.4450 0.1124
0.1124 0.7812 0.4450
0.2188 0.5550 0.8876
0.8876 0.2188 0.5550
0.6678 0.6678 0.6678
0.3322 0.3322 0.3322
```

Properties
space-group type = No. 148
ρ = 6.89 g/cm³



Density functional theory data (PBE-GGA) for crystalline V2NiH2 at its relaxed geometry.

Cell and atoms, written as POSCAR:
```
V2NiH2
1.0
-0.3560 2.3058 -2.2132
0.2492 -2.2000 -2.3323
-4.1724 -0.5026 -2.1888
V Ni H
2 1 2
Direct
0.3467 0.3467 0.3066
0.6533 0.6533 0.6934
0.0000 0.0000 0.0000
0.2500 0.7500 0.5000
0.7500 0.2500 0.5000
```

Properties
space-group type = No. 139
ρ = 6.28 g/cm³
energy above the most stable polymorph in this dataset = 0.087 eV per atom



Density functional theory data (PBE-GGA) for crystalline V2Ni9H at its relaxed geometry.

Cell and atoms, written as POSCAR:
```
V2Ni9H
1.0
3.5274 0.0000 0.0000
0.0000 3.5274 0.0000
0.0000 0.0000 10.3195
V Ni H
2 9 1
Direct
0.0000 0.0000 0.6804
0.0000 0.0000 0.3196
0.5000 0.0000 0.8434
0.5000 0.5000 0.0000
0.5000 0.0000 0.1566
0.5000 0.5000 0.3293
0.0000 0.5000 0.1566
0.0000 0.5000 0.5000
0.5000 0.0000 0.5000
0.5000 0.5000 0.6707
0.0000 0.5000 0.8434
0.0000 0.0000 0.0000
```

Properties
space-group type = No. 123
ρ = 8.16 g/cm³



Density functional theory data (PBE-GGA) for crystalline V3NiH4 at its relaxed geometry.

Cell and atoms, written as POSCAR:
```
V3NiH4
1.0
3.8706 0.0000 0.0000
0.0000 3.8706 0.0000
0.0000 0.0000 3.8706
V Ni H
3 1 4
Direct
0.5000 0.5000 0.0000
0.0000 0.5000 0.5000
0.5000 0.0000 0.5000
0.0000 0.0000 0.0000
0.5000 0.5000 0.5000
0.5000 0.0000 0.0000
0.0000 0.5000 0.0000
0.0000 0.0000 0.5000
```

Properties
space-group type = No. 221
ρ = 6.17 g/cm³



Density functional theory data (PBE-GGA) for crystalline VNi4H6 at its relaxed geometry.

Cell and atoms, written as POSCAR:
```
VNi4H6
1.0
-0.9315 2.4192 -0.6576
-2.8295 -1.7074 3.1650
6.7435 4.9630 8.7060
V H Ni
2 12 8
Direct
0.6727 0.3454 0.2500
0.3273 0.6546 0.7500
0.6861 0.3722 0.7500
0.7737 0.5474 0.0903
0.9544 0.9088 0.6718
0.5000 0.0000 0.5000
0.5000 0.0000 0.0000
0.2263 0.4526 0.5903
0.3139 0.6278 0.2500
0.9544 0.9088 0.8282
0.2263 0.4526 0.9097
0.0456 0.0912 0.3282
0.0456 0.0912 0.1718
0.7737 0.5474 0.4097
0.5905 0.1811 0.6358
0.8604 0.7208 0.5524
0.8604 0.7208 0.9476
0.1396 0.2792 0.0524
0.4095 0.8189 0.1358
0.1396 0.2792 0.4476
0.4095 0.8189 0.3642
0.5905 0.1811 0.8642
```

Properties
space-group type = No. 63
ρ = 6.85 g/cm³



Density functional theory data (PBE-GGA) for crystalline VNi2H2 at its relaxed geometry.

Cell and atoms, written as POSCAR:
```
VNi2H2
1.0
-0.0553 4.8381 -1.2604
-2.3690 -1.1353 -4.2542
-3.0124 0.3764 1.5770
H Ni V
4 4 2
Direct
0.3404 0.1596 0.0000
0.1596 0.6596 0.0000
0.6596 0.8404 0.0000
0.8404 0.3404 0.0000
0.1705 0.6705 0.5000
0.8295 0.3295 0.5000
0.6705 0.8295 0.5000
0.3295 0.1705 0.5000
0.0000 0.0000 0.0000
0.5000 0.5000 0.0000
```

Properties
space-group type = No. 127
ρ = 6.62 g/cm³
energy above the most stable polymorph in this dataset = 0.130 eV per atom



Density functional theory data (PBE-GGA) for crystalline VNiH2 at its relaxed geometry.

Cell and atoms, written as POSCAR:
```
VNiH2
1.0
1.5725 -0.9517 2.9489
1.1971 2.4183 2.1894
-1.5770 0.5126 3.0536
Ni V H
1 1 2
Direct
0.5000 0.5000 0.5000
0.0000 0.0000 0.0000
0.2500 0.2500 0.2500
0.7500 0.7500 0.7500
```

Properties
space-group type = No. 225
ρ = 6.25 g/cm³
energy above the most stable polymorph in this dataset = 0.403 eV per atom



Density functional theory data (PBE-GGA) for crystalline VNi2H2 at its relaxed geometry.

Cell and atoms, written as POSCAR:
```
VNi2H2
1.0
6.1554 0.0000 0.0000
0.0000 6.1554 0.0000
0.0000 0.0000 2.4368
H Ni V
4 4 2
Direct
0.7601 0.2601 0.5000
0.2601 0.2399 0.5000
0.2399 0.7399 0.5000
0.7399 0.7601 0.5000
0.1355 0.3645 0.0000
0.6355 0.1355 0.0000
0.8645 0.6355 0.0000
0.3645 0.8645 0.0000
0.0000 0.0000 0.0000
0.5000 0.5000 0.0000
```

Properties
space-group type = No. 127
ρ = 6.13 g/cm³
energy above the most stable polymorph in this dataset = 0.524 eV per atom



Density functional theory data (PBE-GGA) for crystalline V5NiH4 at its relaxed geometry.

Cell and atoms, written as POSCAR:
```
V5NiH4
1.0
-1.3282 2.1280 -0.6355
-4.5302 -2.5935 0.7843
1.7899 1.3910 6.1855
V H Ni
5 4 1
Direct
0.1620 0.8224 0.3240
0.5000 0.5000 0.0000
0.8380 0.1776 0.6760
0.1618 0.3396 0.3237
0.8382 0.6604 0.6763
0.6892 0.0952 0.3784
0.3108 0.9048 0.6216
0.0012 0.7616 0.0024
0.9988 0.2384 0.9976
0.5000 0.0000 0.0000
```

Properties
space-group type = No. 12
ρ = 6.10 g/cm³



Density functional theory data (PBE-GGA) for crystalline V3Ni2H at its relaxed geometry.

Cell and atoms, written as POSCAR:
```
V3Ni2H
1.0
6.3284 0.0000 0.0000
0.0000 6.3284 0.0000
0.0000 0.0000 6.3284
H V Ni
4 12 8
Direct
0.6250 0.8750 0.1250
0.8750 0.1250 0.6250
0.3750 0.3750 0.3750
0.1250 0.6250 0.8750
0.3750 0.8061 0.9439
0.8061 0.9439 0.3750
0.9439 0.3750 0.8061
0.1250 0.1939 0.4439
0.5561 0.6250 0.3061
0.3061 0.5561 0.6250
0.6939 0.0561 0.8750
0.8750 0.6939 0.0561
0.1939 0.4439 0.1250
0.6250 0.3061 0.5561
0.0561 0.8750 0.6939
0.4439 0.1250 0.1939
0.3044 0.1956 0.8044
0.5544 0.4456 0.9456
0.1956 0.8044 0.3044
0.8044 0.3044 0.1956
0.9456 0.5544 0.4456
0.6956 0.6956 0.6956
0.4456 0.9456 0.5544
0.0544 0.0544 0.0544
```

Properties
space-group type = No. 213
ρ = 7.11 g/cm³



Number 1: E_tot -5.300 eV per atom. Number 2: E_tot -5.000 eV per atom. Number 3: E_tot -5.250 eV per atom. Number 4: E_tot -6.217 eV per atom. Number 5: E_tot -6.157 eV per atom. Number 6: E_tot -6.020 eV per atom. Number 7: E_tot -4.830 eV per atom. Number 8: E_tot -5.457 eV per atom. Number 9: E_tot -5.144 eV per atom. Number 10: E_tot -5.064 eV per atom. Number 11: E_tot -6.616 eV per atom. Number 12: E_tot -7.214 eV per atom.